# 1
HgBi2Pb3 | PBE-GGA | optimized geometry

Calculated values
Formation energy (eV/atom): 0.0292
Energy relative to the lowest polymorph listed for this composition (eV per atom): 0.000
Theoretical density (g/cm3): 10.84

POSCAR file:
```
HgBi2Pb3
1.0
5.046 0.000 0.000
0.000 7.034 0.612
0.000 -2.194 10.511
Hg Bi Pb
2 4 6
direct
0.250 0.808 0.244
0.750 0.192 0.756
0.250 0.453 0.904
0.750 0.547 0.096
0.750 0.109 0.424
0.250 0.891 0.576
0.750 0.012 0.105
0.250 0.988 0.895
0.750 0.692 0.758
0.250 0.308 0.242
0.250 0.381 0.575
0.750 0.619 0.425
```

***

# 2
Nd2TlBi | PBE-GGA | optimized geometry

Calculated values
Formation energy (eV/atom): -0.4798
Energy relative to the lowest polymorph listed for this composition (eV per atom): 0.159
Theoretical density (g/cm3): 9.46

POSCAR file:
```
Nd2TlBi
1.0
-3.282 -4.437 -0.858
-1.421 -3.292 4.282
-5.252 0.002 1.901
Tl Nd Bi
1 2 1
direct
0.000 0.000 0.000
0.250 0.250 0.250
0.750 0.750 0.750
0.500 0.500 0.500
```

***

# 3
MgNiSb2 | PBE-GGA | optimized geometry

Calculated values
E (eV per atom): -3.90
Theoretical density (g/cm3): 6.47

POSCAR file:
```
MgNiSb2
1.0
3.288 0.080 0.000
-0.544 3.244 0.000
0.000 0.000 7.827
Mg Ni Sb
1 1 2
direct
0.500 0.500 0.250
0.500 0.500 0.750
0.000 0.000 0.958
0.000 0.000 0.542
```

***

# 4
K3IrCl | PBE-GGA | optimized geometry

Calculated values
Energy relative to the lowest polymorph listed for this composition (eV per atom): 0.000
Theoretical density (g/cm3): 2.94

POSCAR file:
```
K3IrCl
1.0
-0.245 0.091 -5.793
-5.750 -0.711 0.232
-0.707 5.754 0.120
K Ir Cl
3 1 1
direct
0.000 0.500 0.000
0.000 0.000 0.500
0.500 0.000 0.000
0.500 0.500 0.500
0.000 0.000 0.000
```

***

# 5
TcAgW | PBE-GGA | optimized geometry

Calculated values
Formation energy (eV/atom): 0.4438
Energy relative to the lowest polymorph listed for this composition (eV per atom): 0.087
Theoretical density (g/cm3): 13.50

POSCAR file:
```
TcAgW
1.0
-0.316 4.123 1.865
-1.469 -3.638 2.277
2.442 -0.305 1.088
Ag W Tc
1 1 1
direct
0.000 0.000 0.234
0.333 0.667 0.607
0.667 0.333 0.846
```

***

# 6
LiAc4Mg3 | PBE-GGA | optimized geometry

Calculated values
Formation energy (eV/atom): -0.0494
Theoretical density (g/cm3): 5.92

POSCAR file:
```
LiAc4Mg3
1.0
-1.537 4.312 -3.578
-5.518 0.493 -1.752
-4.230 7.133 5.695
Ac Mg Li
4 3 1
direct
0.876 0.876 0.373
0.375 0.375 0.876
0.124 0.124 0.627
0.625 0.625 0.124
0.249 0.249 0.253
0.751 0.751 0.747
0.500 0.500 0.500
0.000 0.000 0.000
```